1.
Below is an optimized crystal structure of CsUInCl6, with properties calculated at the PBE level.

Output
Calculated total energy ... -4.53 eV per atom

a b c (Å): 7.8693 7.8693 13.9669
angles (deg): 90.00 90.00 120.00
Sites, in units of the cell vectors:
Cs (0.0000, 0.0000, 0.0000)
Cs (0.0000, 0.0000, 0.5000)
U (0.3333, 0.6667, 0.2500)
U (0.6667, 0.3333, 0.7500)
In (0.3333, 0.6667, 0.7500)
In (0.6667, 0.3333, 0.2500)
Cl (0.0519, 0.3980, 0.1423)
Cl (0.0519, 0.6539, 0.3577)
Cl (0.3461, 0.3980, 0.3577)
Cl (0.3461, 0.9481, 0.1423)
Cl (0.3980, 0.0519, 0.6423)
Cl (0.3980, 0.3461, 0.8577)
Cl (0.6020, 0.6539, 0.1423)
Cl (0.6020, 0.9481, 0.3577)
Cl (0.6539, 0.0519, 0.8577)
Cl (0.6539, 0.6020, 0.6423)
Cl (0.9481, 0.3461, 0.6423)
Cl (0.9481, 0.6020, 0.8577)



2.
Below is an optimized crystal structure of CsUIn2Cl6, with properties calculated at the PBE level.

Output
Calculated total energy ... -4.28 eV per atom

a b c (Å): 8.0457 8.0649 8.2759
angles (deg): 60.96 60.92 60.11
Sites, in units of the cell vectors:
Cs (0.0000, 0.0000, 0.0000)
U (0.4814, 0.4826, 0.5537)
In (0.2764, 0.2778, 0.1690)
In (0.7898, 0.7914, 0.6287)
Cl (0.1163, 0.4253, 0.8189)
Cl (0.2405, 0.8270, 0.3505)
Cl (0.4238, 0.6381, 0.8202)
Cl (0.5817, 0.2418, 0.3497)
Cl (0.6370, 0.1190, 0.8196)
Cl (0.8264, 0.5831, 0.3506)



3.
Below is an optimized crystal structure of Cs2UInCl6, with properties calculated at the PBE level.

Output
Calculated total energy ... -4.34 eV per atom

a b c (Å): 7.9860 11.6036 8.6299
angles (deg): 90.00 90.00 90.00
Sites, in units of the cell vectors:
Cs (0.2500, 0.0258, 0.2056)
Cs (0.2500, 0.4742, 0.2056)
Cs (0.7500, 0.5258, 0.7944)
Cs (0.7500, 0.9742, 0.7944)
U (0.2500, 0.7500, 0.7809)
U (0.7500, 0.2500, 0.2191)
In (0.2500, 0.2500, 0.7175)
In (0.7500, 0.7500, 0.2825)
Cl (0.0065, 0.2500, 0.4291)
Cl (0.0113, 0.7500, 0.0131)
Cl (0.2500, 0.5132, 0.7921)
Cl (0.2500, 0.9868, 0.7921)
Cl (0.4887, 0.7500, 0.0131)
Cl (0.4935, 0.2500, 0.4291)
Cl (0.5065, 0.7500, 0.5709)
Cl (0.5113, 0.2500, 0.9869)
Cl (0.7500, 0.0132, 0.2079)
Cl (0.7500, 0.4868, 0.2079)
Cl (0.9887, 0.2500, 0.9869)
Cl (0.9935, 0.7500, 0.5709)



4.
Below is an optimized crystal structure of Cs2VInCl6, with properties calculated at the PBE level.

Output
Calculated total energy ... -3.95 eV per atom

a b c (Å): 7.6936 7.6936 7.6936
angles (deg): 60.00 60.00 60.00
Sites, in units of the cell vectors:
Cs (0.2500, 0.2500, 0.2500)
Cs (0.7500, 0.7500, 0.7500)
V (0.0000, 0.0000, 0.0000)
In (0.5000, 0.5000, 0.5000)
Cl (0.2212, 0.2212, 0.7788)
Cl (0.2212, 0.7788, 0.2212)
Cl (0.2212, 0.7788, 0.7788)
Cl (0.7788, 0.2212, 0.2212)
Cl (0.7788, 0.2212, 0.7788)
Cl (0.7788, 0.7788, 0.2212)



5.
Below is an optimized crystal structure of Cs3V2InCl9, with properties calculated at the PBE level.

Output
Calculated total energy ... -4.16 eV per atom

a b c (Å): 7.4142 7.4142 9.3989
angles (deg): 90.00 90.00 120.00
Sites, in units of the cell vectors:
Cs (0.0000, 0.0000, 0.0000)
Cs (0.3333, 0.6667, 0.6686)
Cs (0.6667, 0.3333, 0.3314)
V (0.3333, 0.6667, 0.1498)
V (0.6667, 0.3333, 0.8502)
In (0.0000, 0.0000, 0.5000)
Cl (0.0000, 0.5000, 0.0000)
Cl (0.1816, 0.3632, 0.2982)
Cl (0.1816, 0.8184, 0.2982)
Cl (0.3632, 0.1816, 0.7018)
Cl (0.5000, 0.0000, 0.0000)
Cl (0.5000, 0.5000, 0.0000)
Cl (0.6368, 0.8184, 0.2982)
Cl (0.8184, 0.1816, 0.7018)
Cl (0.8184, 0.6368, 0.7018)



6.
Below is an optimized crystal structure of CsVInCl6, with properties calculated at the PBE level.

Output
Calculated total energy ... -4.01 eV per atom

a b c (Å): 6.6305 6.6305 7.8197
angles (deg): 90.00 90.00 120.00
Sites, in units of the cell vectors:
Cs (0.0000, 0.0000, 0.0000)
V (0.3333, 0.6667, 0.5000)
In (0.6667, 0.3333, 0.5000)
Cl (0.0132, 0.3783, 0.6816)
Cl (0.0132, 0.6350, 0.3184)
Cl (0.3650, 0.3783, 0.3184)
Cl (0.3650, 0.9868, 0.6816)
Cl (0.6217, 0.6350, 0.6816)
Cl (0.6217, 0.9868, 0.3184)



Respective formation energy (no corrections) values: -1.6455, -1.4102, -1.6545, -1.4849, -1.4806, -1.3650 eV per atom.